A geometry-optimized DyYGaIr structure. Source: the Alexandria database, functional GGA-PBE.

Calculated values
**Energy relative to the lowest polymorph listed for this composition**: 65 meV/atom
**Space group**: F-43m (216)
**Total DFT energy (no corrections)**: -6.418 eV/atom
**ΔH_f (0 K)**: -680 meV per atom
**Total magnetization**: 0.00 μB per atom

Lattice parameters (Å, degrees): 4.9610 4.9610 4.9610 60.00 60.00 60.00
With the nearest neighbours (Å) after each atom.
Positions (direct):
Ga: 0.0000 0.0000 0.0000  4 Y 3.04, 4 Dy 3.04
Dy: 0.2500 0.2500 0.2500  4 Ga 3.04, 4 Ir 3.04
Y: 0.7500 0.7500 0.7500  4 Ir 3.04, 4 Ga 3.04
Ir: 0.5000 0.5000 0.5000  4 Dy 3.04, 4 Y 3.04

A geometry-optimized Dy2ZnGa3Ir4 structure. Source: the Alexandria database, functional GGA-PBE.

Calculated values
**Space group**: P-4m2 (115)
**Total DFT energy (no corrections)**: -6.156 eV/atom
**ΔH_f (0 K)**: -655 meV per atom
**Total magnetization**: 0.00 μB per atom

Lattice parameters (Å, degrees): 4.1707 4.1707 10.4697 90.00 90.00 90.00
With the nearest neighbours (Å) after each atom.
Positions (direct):
Ga: 0.5000 0.0000 0.8710  5 Ir 2.43-2.48
Ga: 0.0000 0.5000 0.1290  5 Ir 2.43-2.48
Ga: 0.0000 0.0000 0.5000  4 Ir 2.54
Ir: 0.5000 0.0000 0.6385  3 Ga 2.43-2.54, 2 Zn 2.54
Ir: 0.0000 0.5000 0.3615  3 Ga 2.43-2.54, 2 Zn 2.54
Ir: 0.5000 0.5000 0.0000  4 Ga 2.48
Ir: 0.0000 0.0000 0.0000  4 Ga 2.48
Zn: 0.5000 0.5000 0.5000  4 Ir 2.54
Dy: 0.5000 0.0000 0.2399  6 Ga 3.17-3.43, 8 Ir 3.21-3.26, 2 Zn 3.43
Dy: 0.0000 0.5000 0.7601  6 Ga 3.17-3.43, 8 Ir 3.21-3.26, 2 Zn 3.43

A geometry-optimized Dy2ZnGa4Ir3 structure. Source: the Alexandria database, functional GGA-PBE.

Calculated values
**Space group**: P-4m2 (115)
**Total DFT energy (no corrections)**: -5.552 eV/atom
**ΔH_f (0 K)**: -635 meV per atom
**Total magnetization**: 0.00 μB per atom

Lattice parameters (Å, degrees): 4.0178 4.0178 11.2932 90.00 90.00 90.00
With the nearest neighbours (Å) after each atom.
Positions (direct):
Zn: 0.5000 0.5000 0.5000  4 Ga 2.54, 4 Ir 2.84
Dy: 0.0000 0.5000 0.7573  4 Ir 3.06, 8 Ga 3.15-3.40
Dy: 0.5000 0.0000 0.2427  4 Ir 3.06, 8 Ga 3.15-3.40
Ir: 0.0000 0.5000 0.1410  5 Ga 2.50-2.56
Ir: 0.0000 0.0000 0.5000  4 Ga 2.54, 4 Zn 2.84
Ir: 0.5000 0.0000 0.8590  5 Ga 2.50-2.56
Ga: 0.0000 0.5000 0.3628  3 Ir 2.50-2.54, 2 Zn 2.54
Ga: 0.5000 0.0000 0.6372  3 Ir 2.50-2.54, 2 Zn 2.54
Ga: 0.5000 0.5000 0.0000  4 Ir 2.56, 4 Ga 2.84
Ga: 0.0000 0.0000 0.0000  4 Ir 2.56, 4 Ga 2.84

A geometry-optimized DyZrGaIr structure. Source: the Alexandria database, functional GGA-PBE.

Calculated values
**Space group**: F-43m (216)
**Total DFT energy (no corrections)**: -6.828 eV/atom
**ΔH_f (0 K)**: -569 meV per atom
**Total magnetization**: 0.00 μB per atom

Lattice parameters (Å, degrees): 4.8380 4.8380 4.8380 60.00 60.00 60.00
With the nearest neighbours (Å) after each atom.
Positions (direct):
Ga: 0.2500 0.2500 0.2500  4 Zr 2.96, 4 Dy 2.96
Dy: 0.5000 0.5000 0.5000  4 Ir 2.96, 4 Ga 2.96
Ir: 0.7500 0.7500 0.7500  4 Zr 2.96, 4 Dy 2.96
Zr: 0.0000 0.0000 0.0000  4 Ir 2.96, 4 Ga 2.96

A geometry-optimized Dy2ZrGa3Ir4 structure. Source: the Alexandria database, functional GGA-PBE.

Calculated values
**Space group**: P-4m2 (115)
**Total DFT energy (no corrections)**: -6.972 eV/atom
**ΔH_f (0 K)**: -744 meV per atom
**Total magnetization**: 0.00 μB per atom

Lattice parameters (Å, degrees): 4.1546 4.1546 11.0788 90.00 90.00 90.00
With the nearest neighbours (Å) after each atom.
Positions (direct):
Ir: 0.5000 0.5000 0.0000  4 Ga 2.50
Ir: 0.0000 0.5000 0.3497  3 Ga 2.49-2.66, 2 Zr 2.66
Ir: 0.0000 0.0000 0.0000  4 Ga 2.50
Ir: 0.5000 0.0000 0.6503  3 Ga 2.49-2.66, 2 Zr 2.66
Ga: 0.0000 0.0000 0.5000  4 Ir 2.66, 4 Zr 2.94
Ga: 0.0000 0.5000 0.1250  5 Ir 2.49-2.50
Ga: 0.5000 0.0000 0.8750  5 Ir 2.49-2.50
Dy: 0.0000 0.5000 0.7782  4 Ga 3.13, 8 Ir 3.22-3.26
Dy: 0.5000 0.0000 0.2218  4 Ga 3.13, 8 Ir 3.22-3.26
Zr: 0.5000 0.5000 0.5000  4 Ir 2.66, 4 Ga 2.94

A geometry-optimized KDy4Ga3O12 structure. Source: the Alexandria database, functional GGA-PBE.

Calculated values
**Space group**: Im-3 (204)
**Total DFT energy (no corrections)**: -6.807 eV/atom
**ΔE_f (raw)**: -2.403 eV/atom
**Total magnetization**: 0.10 μB per atom

Lattice parameters (Å, degrees): 7.1239 7.1239 7.1239 109.47 109.47 109.47
With the nearest neighbours (Å) after each atom.
Positions (direct):
Ga: 0.0000 0.5000 0.5000  4 O 1.91
Ga: 0.5000 0.5000 0.0000  4 O 1.91
Ga: 0.5000 0.0000 0.5000  4 O 1.91
O: 0.8407 0.1712 0.3305  1 Ga 1.91
O: 0.1593 0.8288 0.6695  1 Ga 1.91
O: 0.4897 0.3305 0.1593  1 Ga 1.91
O: 0.6695 0.8407 0.5103  1 Ga 1.91
O: 0.6695 0.1593 0.8288  1 Ga 1.91
O: 0.1593 0.4897 0.3305  1 Ga 1.91
O: 0.3305 0.8407 0.1712  1 Ga 1.91
O: 0.5103 0.6695 0.8407  1 Ga 1.91
O: 0.1712 0.3305 0.8407  1 Ga 1.91
O: 0.8288 0.6695 0.1593  1 Ga 1.91
O: 0.8407 0.5103 0.6695  1 Ga 1.91
O: 0.3305 0.1593 0.4897  1 Ga 1.91
Dy: 0.5000 0.5000 0.5000  6 O 2.29
Dy: 0.0000 0.0000 0.5000  6 O 2.29
Dy: 0.0000 0.5000 0.0000  6 O 2.29
Dy: 0.5000 0.0000 0.0000  6 O 2.29
K: 0.0000 0.0000 0.0000  12 O 3.02